BaHgPb2 | meta-GGA SCAN | single point on PBEsol structure

Output
The energy relative to the elements is -436 meV per atom. As for the density of states at the Fermi level: 1.91 states/eV/cell. For the total magnetic moment, the calculation gives 0.000 μB per formula unit. As for the crystal system: tetragonal.

Lattice parameters (Å, degrees): 4.0337 4.0337 7.6635 90.00 90.00 90.00
Space group P4mm (No. 99)
Symmetry-distinct sites (fractional):
Ba  0.0000  0.0000  0.0000
Hg  0.5000  0.5000  0.2662
Pb  0.0000  0.0000  0.4829
Pb  0.5000  0.5000  0.6903